<A>
# In2CoAg

A relaxed structure of In2CoAg (PBE, the Alexandria database).

- Magnetic moment: 0.0 Bohr magnetons per cell

Structure (CIF):
```
data_In2CoAg
_cell_length_a 3.986
_cell_length_b 3.986
_cell_length_c 9.010
_cell_angle_alpha 90.00
_cell_angle_beta 90.00
_cell_angle_gamma 90.00
_symmetry_space_group_name_H-M 'I -4 m 2'
_symmetry_Int_Tables_number 119
_symmetry_space_group_name_Hall 'I -4 -2'
loop_
_atom_site_label
_atom_site_type_symbol
_atom_site_fract_x
_atom_site_fract_y
_atom_site_fract_z
In1 In 0.000 0.000 0.000
In2 In 0.000 0.500 0.250
Co1 Co 0.000 0.000 0.500
Ag1 Ag 0.000 0.500 0.750
```


<B>
# In2CoAg

A relaxed structure of In2CoAg (PBE, the Alexandria database).

- Magnetic moment: 0.0 Bohr magnetons per cell

Structure (CIF):
```
data_In2CoAg
_cell_length_a 12.783
_cell_length_b 2.949
_cell_length_c 4.339
_cell_angle_alpha 90.00
_cell_angle_beta 109.77
_cell_angle_gamma 90.00
_symmetry_space_group_name_H-M 'C 1 m 1'
_symmetry_Int_Tables_number 8
loop_
_symmetry_equiv_pos_as_xyz
'x,y,z'
'x,-y,z'
'x+1/2,y+1/2,z'
'x+1/2,-y+1/2,z'
loop_
_atom_site_label
_atom_site_type_symbol
_atom_site_fract_x
_atom_site_fract_y
_atom_site_fract_z
In1 In 0.000 0.000 0.000
In2 In 0.205 0.000 0.705
Co1 Co 0.185 0.500 0.184
Ag1 Ag 0.380 0.000 0.380
```


The most stable of them is <B>.


<A>
# In2CoAg

A relaxed structure of In2CoAg (PBE, the Alexandria database).

- Magnetic moment: 1.9 Bohr magnetons per cell

Structure (CIF):
```
data_In2CoAg
_cell_length_a 3.1279
_cell_length_b 3.1279
_cell_length_c 26.4042
_cell_angle_alpha 90.00
_cell_angle_beta 90.00
_cell_angle_gamma 120.00
_symmetry_space_group_name_H-M 'R -3 m'
_symmetry_Int_Tables_number 166
_symmetry_space_group_name_Hall '-R 3 2"'
loop_
_atom_site_label
_atom_site_type_symbol
_atom_site_fract_x
_atom_site_fract_y
_atom_site_fract_z
In1 In 0.0000 0.0000 0.2406
Co1 Co 0.0000 0.0000 0.5000
Ag1 Ag 0.0000 0.0000 0.0000
```


<B>
# In2CoAg

A relaxed structure of In2CoAg (PBE, the Alexandria database).

- Magnetic moment: 2.1 Bohr magnetons per cell

Structure (CIF):
```
data_In2CoAg
_cell_length_a 9.095
_cell_length_b 3.139
_cell_length_c 5.426
_cell_angle_alpha 90.00
_cell_angle_beta 104.62
_cell_angle_gamma 90.00
_symmetry_space_group_name_H-M 'C 1 2/m 1'
_symmetry_Int_Tables_number 12
loop_
_symmetry_equiv_pos_as_xyz
'x,y,z'
'-x,-y,-z'
'-x,y,-z'
'x,-y,z'
'x+1/2,y+1/2,z'
'-x+1/2,-y+1/2,-z'
'-x+1/2,y+1/2,-z'
'x+1/2,-y+1/2,z'
loop_
_atom_site_label
_atom_site_type_symbol
_atom_site_fract_x
_atom_site_fract_y
_atom_site_fract_z
In1 In 0.235 0.000 0.229
Co1 Co 0.000 0.500 0.000
Ag1 Ag 0.000 0.000 0.500
```


The most stable of them is <A>.


<A>
# InCo3Ag

A relaxed structure of InCo3Ag (PBE, the Alexandria database).

- Magnetic moment: 5.5 Bohr magnetons per cell

Structure (CIF):
```
data_InCo3Ag
_cell_length_a 4.656
_cell_length_b 4.656
_cell_length_c 4.656
_cell_angle_alpha 90.00
_cell_angle_beta 90.00
_cell_angle_gamma 90.00
_symmetry_space_group_name_H-M 'P m -3 m'
_symmetry_Int_Tables_number 221
_symmetry_space_group_name_Hall '-P 4 2 3'
loop_
_atom_site_label
_atom_site_type_symbol
_atom_site_fract_x
_atom_site_fract_y
_atom_site_fract_z
In1 In 0.000 0.000 0.000
Co1 Co 0.000 0.500 0.500
Ag1 Ag 0.500 0.500 0.500
```


<B>
# InCo3Ag

A relaxed structure of InCo3Ag (PBE, the Alexandria database).

- Magnetic moment: 4.7 Bohr magnetons per cell

Structure (CIF):
```
data_InCo3Ag
_cell_length_a 4.704
_cell_length_b 4.704
_cell_length_c 4.704
_cell_angle_alpha 90.00
_cell_angle_beta 90.00
_cell_angle_gamma 90.00
_symmetry_space_group_name_H-M 'P m -3 m'
_symmetry_Int_Tables_number 221
_symmetry_space_group_name_Hall '-P 4 2 3'
loop_
_atom_site_label
_atom_site_type_symbol
_atom_site_fract_x
_atom_site_fract_y
_atom_site_fract_z
In1 In 0.000 0.000 0.000
Co1 Co 0.000 0.000 0.500
Ag1 Ag 0.500 0.500 0.500
```


The most stable of them is <A>.


<A>
# CoAg2Ir

A relaxed structure of CoAg2Ir (PBE, the Alexandria database).

- Magnetic moment: 2.3 Bohr magnetons per cell

Structure (CIF):
```
data_CoAg2Ir
_cell_length_a 4.672
_cell_length_b 2.776
_cell_length_c 4.928
_cell_angle_alpha 90.00
_cell_angle_beta 106.83
_cell_angle_gamma 90.00
_symmetry_space_group_name_H-M 'P 1 2/m 1'
_symmetry_Int_Tables_number 10
loop_
_symmetry_equiv_pos_as_xyz
'x,y,z'
'-x,-y,-z'
'-x,y,-z'
'x,-y,z'
loop_
_atom_site_label
_atom_site_type_symbol
_atom_site_fract_x
_atom_site_fract_y
_atom_site_fract_z
Co1 Co 0.000 0.000 0.000
Ag1 Ag 0.000 0.500 0.500
Ag2 Ag 0.500 0.000 0.500
Ir1 Ir 0.500 0.500 0.000
```


<B>
# CoAg2Ir

A relaxed structure of CoAg2Ir (PBE, the Alexandria database).

- Magnetic moment: 4.1 Bohr magnetons per cell

Structure (CIF):
```
data_CoAg2Ir
_cell_length_a 2.778
_cell_length_b 4.767
_cell_length_c 9.430
_cell_angle_alpha 90.00
_cell_angle_beta 90.00
_cell_angle_gamma 90.00
_symmetry_space_group_name_H-M 'I m m 2'
_symmetry_Int_Tables_number 44
loop_
_symmetry_equiv_pos_as_xyz
'x,y,z'
'-x,-y,z'
'-x,y,z'
'x,-y,z'
'x+1/2,y+1/2,z+1/2'
'-x+1/2,-y+1/2,z+1/2'
'-x+1/2,y+1/2,z+1/2'
'x+1/2,-y+1/2,z+1/2'
loop_
_atom_site_label
_atom_site_type_symbol
_atom_site_fract_x
_atom_site_fract_y
_atom_site_fract_z
Co1 Co 0.000 0.000 0.000
Ag1 Ag 0.000 0.000 0.478
Ag2 Ag 0.000 0.500 0.250
Ir1 Ir 0.000 0.500 0.711
```


The most stable of them is <A>.


<A>
# CoAg2Ir

A relaxed structure of CoAg2Ir (PBE, the Alexandria database).

- Magnetic moment: 4.8 Bohr magnetons per cell

Structure (CIF):
```
data_CoAg2Ir
_cell_length_a 5.353
_cell_length_b 8.437
_cell_length_c 2.729
_cell_angle_alpha 90.00
_cell_angle_beta 90.00
_cell_angle_gamma 90.00
_symmetry_space_group_name_H-M 'C m m m'
_symmetry_Int_Tables_number 65
_symmetry_space_group_name_Hall '-C 2 2'
loop_
_atom_site_label
_atom_site_type_symbol
_atom_site_fract_x
_atom_site_fract_y
_atom_site_fract_z
Co1 Co 0.000 0.000 0.000
Ag1 Ag 0.250 0.250 0.500
Ir1 Ir 0.000 0.500 0.000
```


<B>
# CoAg2Ir

A relaxed structure of CoAg2Ir (PBE, the Alexandria database).

- Magnetic moment: 2.5 Bohr magnetons per cell

Structure (CIF):
```
data_CoAg2Ir
_cell_length_a 2.707
_cell_length_b 2.707
_cell_length_c 8.387
_cell_angle_alpha 90.00
_cell_angle_beta 90.00
_cell_angle_gamma 90.00
_symmetry_space_group_name_H-M 'P 4/m m m'
_symmetry_Int_Tables_number 123
_symmetry_space_group_name_Hall '-P 4 2'
loop_
_atom_site_label
_atom_site_type_symbol
_atom_site_fract_x
_atom_site_fract_y
_atom_site_fract_z
Co1 Co 0.000 0.000 0.000
Ag1 Ag 0.500 0.500 0.239
Ir1 Ir 0.000 0.000 0.500
```


<C>
# CoAg2Ir

A relaxed structure of CoAg2Ir (PBE, the Alexandria database).

- Magnetic moment: 6.4 Bohr magnetons per cell

Structure (CIF):
```
data_CoAg2Ir
_cell_length_a 2.7713
_cell_length_b 2.7713
_cell_length_c 27.6990
_cell_angle_alpha 90.00
_cell_angle_beta 90.00
_cell_angle_gamma 120.00
_symmetry_space_group_name_H-M 'R 3 m'
_symmetry_Int_Tables_number 160
_symmetry_space_group_name_Hall 'R 3 -2"'
loop_
_atom_site_label
_atom_site_type_symbol
_atom_site_fract_x
_atom_site_fract_y
_atom_site_fract_z
Co1 Co 0.0000 0.0000 0.0000
Ag1 Ag 0.0000 0.0000 0.5066
Ag2 Ag 0.0000 0.0000 0.7488
Ir1 Ir 0.0000 0.0000 0.2625
```


<D>
# CoAg2Ir

A relaxed structure of CoAg2Ir (PBE, the Alexandria database).

- Magnetic moment: 4.6 Bohr magnetons per cell

Structure (CIF):
```
data_CoAg2Ir
_cell_length_a 2.787
_cell_length_b 4.577
_cell_length_c 9.625
_cell_angle_alpha 90.00
_cell_angle_beta 90.00
_cell_angle_gamma 90.00
_symmetry_space_group_name_H-M 'I m m m'
_symmetry_Int_Tables_number 71
_symmetry_space_group_name_Hall '-I 2 2'
loop_
_atom_site_label
_atom_site_type_symbol
_atom_site_fract_x
_atom_site_fract_y
_atom_site_fract_z
Co1 Co 0.000 0.000 0.000
Ag1 Ag 0.000 0.500 0.262
Ir1 Ir 0.000 0.000 0.500
```


The most stable of them is <C>.


<A>
# CoAg2Ir

A relaxed structure of CoAg2Ir (PBE, the Alexandria database).

- Magnetic moment: 5.1 Bohr magnetons per cell

Structure (CIF):
```
data_CoAg2Ir
_cell_length_a 2.822
_cell_length_b 4.674
_cell_length_c 9.457
_cell_angle_alpha 90.00
_cell_angle_beta 90.00
_cell_angle_gamma 90.00
_symmetry_space_group_name_H-M 'C m m 2'
_symmetry_Int_Tables_number 35
loop_
_symmetry_equiv_pos_as_xyz
'x,y,z'
'-x,-y,z'
'-x,y,z'
'x,-y,z'
'x+1/2,y+1/2,z'
'-x+1/2,-y+1/2,z'
'-x+1/2,y+1/2,z'
'x+1/2,-y+1/2,z'
loop_
_atom_site_label
_atom_site_type_symbol
_atom_site_fract_x
_atom_site_fract_y
_atom_site_fract_z
Co1 Co 0.000 0.000 0.000
Ag1 Ag 0.000 0.000 0.483
Ag2 Ag 0.000 0.500 0.753
Ir1 Ir 0.000 0.500 0.217
```


<B>
# CoAg2Ir

A relaxed structure of CoAg2Ir (PBE, the Alexandria database).

- Magnetic moment: 4.6 Bohr magnetons per cell

Structure (CIF):
```
data_CoAg2Ir
_cell_length_a 9.602
_cell_length_b 2.762
_cell_length_c 4.687
_cell_angle_alpha 90.00
_cell_angle_beta 100.54
_cell_angle_gamma 90.00
_symmetry_space_group_name_H-M 'C 1 2/m 1'
_symmetry_Int_Tables_number 12
loop_
_symmetry_equiv_pos_as_xyz
'x,y,z'
'-x,-y,-z'
'-x,y,-z'
'x,-y,z'
'x+1/2,y+1/2,z'
'-x+1/2,-y+1/2,-z'
'-x+1/2,y+1/2,-z'
'x+1/2,-y+1/2,z'
loop_
_atom_site_label
_atom_site_type_symbol
_atom_site_fract_x
_atom_site_fract_y
_atom_site_fract_z
Co1 Co 0.000 0.000 0.000
Ag1 Ag 0.247 0.500 0.247
Ir1 Ir 0.000 0.500 0.500
```


The most stable of them is <A>.